[1]
LaNd5Y12 | PBE-GGA | optimized geometry

POSCAR file:
```
LaNd5Y12
1.0
15.304 -0.008 0.009
7.647 7.668 0.017
-0.003 -0.008 5.117
La Nd Y
1 5 12
direct
0.000 0.000 0.000 La
0.500 0.000 0.500 Nd
0.168 0.665 0.500 Nd
0.832 0.335 0.500 Nd
0.667 0.666 0.000 Nd
0.333 0.334 0.000 Nd
0.832 0.000 0.500 Y
0.168 0.000 0.500 Y
0.668 0.000 0.000 Y
0.332 0.000 0.000 Y
0.335 0.665 0.000 Y
0.999 0.665 0.000 Y
0.001 0.335 0.000 Y
0.665 0.335 0.000 Y
0.501 0.333 0.500 Y
0.834 0.667 0.500 Y
0.166 0.333 0.500 Y
0.499 0.667 0.500 Y
```

Properties
**Density**: 5.3 Mg/m³
**Formation energy from the elements**: 22.3 meV per atom
**Crystal system**: monoclinic
**Total energy**: -5.89 eV/atom
**Space-group type**: No. 10

=====

[2]
VAuI3 | PBE-GGA | optimized geometry

POSCAR file:
```
VAuI3
1.0
-3.820 4.065 0.971
-2.454 -3.247 3.937
3.384 2.235 3.952
I Au V
3 1 1
direct
0.000 0.500 0.000 I
0.000 0.000 0.500 I
0.500 0.000 0.000 I
0.000 0.000 0.000 Au
0.500 0.500 0.500 V
```

Properties
**Density**: 5.7 Mg/m³
**Crystal system**: cubic
**E_form (uncorrected)**: 0.623 eV per atom
**E above lowest polymorph**: 1.70 eV/f.u.
**Total energy**: -2.79 eV/atom
**Space-group type**: No. 221

=====

[3]
Pu3Rh3Pb | PBE-GGA | optimized geometry

POSCAR file:
```
Pu3Rh3Pb
1.0
-1.448 3.303 -3.699
-0.085 -6.124 -5.435
-6.764 1.795 4.251
Pu Rh Pb
6 6 2
direct
0.750 0.679 0.580 Pu
0.750 0.420 0.098 Pu
0.750 0.902 0.321 Pu
0.250 0.321 0.420 Pu
0.250 0.580 0.902 Pu
0.250 0.098 0.679 Pu
0.250 0.833 0.773 Rh
0.250 0.227 0.060 Rh
0.250 0.940 0.167 Rh
0.750 0.167 0.227 Rh
0.750 0.773 0.940 Rh
0.750 0.060 0.833 Rh
0.250 0.667 0.333 Pb
0.750 0.333 0.667 Pb
```

Properties
**Density**: 13.8 Mg/m³
**Formation energy from the elements**: -260.3 meV per atom
**Crystal system**: hexagonal
**Total energy**: -10.08 eV/atom
**Space-group type**: No. 176

=====

[4]
LiTbGeRh | PBE-GGA | optimized geometry

POSCAR file:
```
LiTbGeRh
1.0
4.594 0.000 0.000
2.297 3.978 0.000
2.297 1.326 3.751
Rh Ge Tb Li
1 1 1 1
direct
0.000 0.000 0.000 Rh
0.250 0.250 0.250 Ge
0.750 0.750 0.750 Tb
0.500 0.500 0.500 Li
```

Properties
**Density**: 8.3 Mg/m³
**Formation energy from the elements**: -634.6 meV per atom
**Crystal system**: cubic
**Total energy**: -5.26 eV/atom
**Space-group type**: No. 216

=====

[5]
RbNbFeTePd | PBE-GGA | optimized geometry

POSCAR file:
```
RbNbFeTePd
1.0
-1.217 -2.074 5.405
0.451 -2.876 -1.002
6.186 0.866 0.300
Nb Te Rb Pd Fe
1 1 1 1 1
direct
0.390 0.500 0.850 Nb
0.837 0.000 0.912 Te
0.767 0.500 0.407 Rb
0.281 0.000 0.468 Pd
0.178 0.500 0.089 Fe
```

Properties
**Density**: 7.0 Mg/m³
**Crystal system**: monoclinic
**E_form (uncorrected)**: 0.289 eV per atom
**E above lowest polymorph**: 1.60 eV/f.u.
**Total energy**: -5.28 eV/atom
**Space-group type**: No. 6

=====

[6]
CaTl2Te2 | PBE-GGA | optimized geometry

POSCAR file:
```
CaTl2Te2
1.0
-2.326 6.685 4.827
-2.432 -5.348 6.235
4.557 0.187 1.938
Tl Te Ca
4 4 2
direct
0.131 0.631 0.500 Tl
0.631 0.869 0.500 Tl
0.869 0.369 0.500 Tl
0.369 0.131 0.500 Tl
0.319 0.819 0.000 Te
0.819 0.681 0.000 Te
0.681 0.181 0.000 Te
0.181 0.319 0.000 Te
0.000 0.000 0.000 Ca
0.500 0.500 0.000 Ca
```

Properties
**Density**: 6.4 Mg/m³
**Crystal system**: tetragonal
**E_form (uncorrected)**: -0.589 eV per atom
**E above lowest polymorph**: 0.00 eV/f.u.
**Total energy**: -3.19 eV/atom
**Space-group type**: No. 127

=====

[7]
ErSnPb2 | PBE-GGA | optimized geometry

POSCAR file:
```
ErSnPb2
1.0
-0.914 3.081 1.358
-3.109 1.389 -0.761
-6.112 -4.058 9.573
Pb Sn Er
2 1 1
direct
0.089 0.089 0.734 Pb
0.911 0.911 0.266 Pb
0.500 0.500 0.500 Sn
0.000 0.000 0.000 Er
```

Properties
**Density**: 9.3 Mg/m³
**Formation energy from the elements**: 127.2 meV per atom
**Crystal system**: trigonal
**E above lowest polymorph**: 1.63 eV/f.u.
**Total energy**: -3.87 eV/atom
**Space-group type**: No. 166

=====

[8]
CoCuPt | PBE-GGA | optimized geometry

POSCAR file:
```
CoCuPt
1.0
2.688 -0.001 0.177
0.000 2.695 0.004
-0.709 -0.019 10.727
Co Cu Pt
2 2 2
direct
0.873 0.291 0.829 Co
0.373 0.791 0.684 Co
0.872 0.292 0.177 Cu
0.372 0.792 0.335 Cu
0.873 0.291 0.511 Pt
0.373 0.791 0.001 Pt
```

Properties
**Density**: 13.5 Mg/m³
**Formation energy from the elements**: -85.7 meV per atom
**Crystal system**: orthorhombic
**E above lowest polymorph**: 0.00 eV/f.u.
**Total energy**: -5.83 eV/atom
**Space-group type**: No. 39

=====

[9]
ZnTcNi | PBE-GGA | optimized geometry

POSCAR file:
```
ZnTcNi
1.0
-0.803 0.084 3.894
1.937 -2.429 2.483
2.670 1.479 2.550
Ni Tc Zn
1 1 1
direct
0.750 0.750 0.750 Ni
0.000 0.000 0.000 Tc
0.500 0.500 0.500 Zn
```

Properties
**Density**: 8.3 Mg/m³
**Formation energy from the elements**: 364.4 meV per atom
**Crystal system**: cubic
**E above lowest polymorph**: 1.19 eV/f.u.
**Total energy**: -5.44 eV/atom
**Space-group type**: No. 216

=====

[10]
Ac2Pm3Pr5 | PBE-GGA | optimized geometry

POSCAR file:
```
Ac2Pm3Pr5
1.0
10.109 -2.428 -2.733
-3.709 9.619 -2.984
-0.798 -0.709 9.179
Ac Pm Pr
4 6 10
direct
0.973 0.027 0.752 Ac
0.027 0.973 0.248 Ac
0.279 0.725 0.752 Ac
0.721 0.275 0.248 Ac
0.274 0.024 0.048 Pm
0.726 0.976 0.952 Pm
0.529 0.469 0.249 Pm
0.471 0.531 0.751 Pm
0.221 0.780 0.249 Pm
0.779 0.220 0.751 Pm
0.240 0.490 0.981 Pr
0.760 0.510 0.019 Pr
0.976 0.726 0.452 Pr
0.490 0.240 0.480 Pr
0.024 0.274 0.548 Pr
0.510 0.760 0.520 Pr
0.879 0.627 0.752 Pr
0.121 0.373 0.248 Pr
0.373 0.125 0.752 Pr
0.627 0.875 0.248 Pr
```

Properties
**Density**: 7.0 Mg/m³
**Formation energy from the elements**: 182.5 meV per atom
**Crystal system**: monoclinic
**Total energy**: -4.45 eV/atom
**Space-group type**: No. 15

=====

[11]
Te3RuO | PBE-GGA | optimized geometry

POSCAR file:
```
Te3RuO
1.0
5.122 0.000 0.000
0.000 5.122 0.000
0.000 0.000 5.122
Ru Te O
1 3 1
direct
0.000 0.000 0.000 Ru
0.000 0.500 0.000 Te
0.000 0.000 0.500 Te
0.500 0.000 0.000 Te
0.500 0.500 0.500 O
```

Properties
**Density**: 6.2 Mg/m³
**Crystal system**: cubic
**E_form (uncorrected)**: 0.926 eV per atom
**E above lowest polymorph**: 1.48 eV/f.u.
**Total energy**: -3.81 eV/atom
**Space-group type**: No. 221

=====

[12]
NaEu2Mg | PBE-GGA | optimized geometry

POSCAR file:
```
NaEu2Mg
1.0
-1.173 -3.945 -0.669
4.688 -0.804 -3.479
3.162 -1.731 4.662
Eu Na Mg
2 1 1
direct
0.000 0.000 0.500 Eu
0.000 0.500 0.000 Eu
0.500 0.000 0.000 Na
0.500 0.500 0.500 Mg
```

Properties
**Density**: 4.0 Mg/m³
**Formation energy from the elements**: 30.4 meV per atom
**Crystal system**: tetragonal
**E above lowest polymorph**: 0.10 eV/f.u.
**Total energy**: -5.84 eV/atom
**Space-group type**: No. 123

=====

[13]
Zr2TiC | PBE-GGA | optimized geometry

POSCAR file:
```
Zr2TiC
1.0
-3.207 0.410 0.256
-1.980 -1.259 -2.240
-2.267 -7.215 3.712
C Zr Ti
1 2 1
direct
0.500 0.500 0.500 C
0.114 0.114 0.657 Zr
0.886 0.886 0.343 Zr
0.000 0.000 0.000 Ti
```

Properties
**Density**: 5.4 Mg/m³
**Formation energy from the elements**: -142.2 meV per atom
**Crystal system**: trigonal
**Total energy**: -8.70 eV/atom
**Space-group type**: No. 166

=====

[14]
SrLaTe2 | PBE-GGA | optimized geometry

POSCAR file:
```
SrLaTe2
1.0
-1.937 2.587 -3.171
-4.042 -1.138 -1.692
-5.648 4.849 4.173
Sr La Te
1 1 2
direct
0.497 0.497 0.510 Sr
0.669 0.669 0.993 La
0.081 0.081 0.757 Te
0.253 0.253 0.240 Te
```

Properties
**Density**: 5.5 Mg/m³
**Crystal system**: trigonal
**E_form (uncorrected)**: -1.562 eV per atom
**E above lowest polymorph**: 0.38 eV/f.u.
**Total energy**: -4.79 eV/atom
**Space-group type**: No. 160